Entry 1:
Entry from the Alexandria database: Sm4TlN2 after structural relaxation (PBE-GGA).

Calculated values
**Electronic total energy**: -44.21 eV/cell
**Formation energy from raw total energies**: -0.90 eV per atom

abc: 14.562 14.562 14.562
angles: 14.25 14.25 14.25
Fractional coordinates of all 7 atoms:
Sm: 0.126 0.126 0.126
Sm: 0.271 0.271 0.271
Sm: 0.729 0.729 0.729
Sm: 0.874 0.874 0.874
Tl: 0.000 0.000 0.000
N: 0.428 0.428 0.428
N: 0.572 0.572 0.572

---

Entry 2:
Entry from the Alexandria database: Pu2TcSn after structural relaxation (PBE-GGA).

Calculated values
**Energy above the lowest structure with this stoichiometry**: 0 meV/atom
**Electronic total energy**: -43.38 eV/cell

abc: 4.409 4.409 4.433
angles: 90.00 90.00 90.00
Fractional coordinates of all 4 atoms:
Pu: 0.000 0.500 0.000
Pu: 0.500 0.000 0.000
Tc: 0.000 0.000 0.500
Sn: 0.500 0.500 0.500

---

Entry 3:
Entry from the Alexandria database: VAg2Ru after structural relaxation (PBE-GGA).

Calculated values
**Energy above the lowest structure with this stoichiometry**: 172 meV/atom
**Electronic total energy**: -23.57 eV/cell

abc: 2.931 2.931 7.569
angles: 90.00 90.00 90.00
Fractional coordinates of all 4 atoms:
V: 0.000 0.000 0.000
Ag: 0.000 0.000 0.547
Ag: 0.500 0.500 0.273
Ru: 0.500 0.500 0.827

---

Entry 4:
Entry from the Alexandria database: VGa2Ir after structural relaxation (PBE-GGA).

Calculated values
**Electronic total energy**: -24.93 eV/cell

abc: 3.923 3.923 3.743
angles: 90.00 90.00 90.00
Fractional coordinates of all 4 atoms:
V: 0.000 0.000 0.000
Ga: 0.000 0.500 0.500
Ga: 0.500 0.000 0.500
Ir: 0.500 0.500 0.000

---

Entry 5:
Entry from the Alexandria database: CsTl2Cd after structural relaxation (PBE-GGA).

Calculated values
**Energy above the lowest structure with this stoichiometry**: 198 meV/atom
**Electronic total energy**: -6.01 eV/cell

abc: 5.148 5.148 5.793
angles: 90.00 90.00 90.00
Fractional coordinates of all 4 atoms:
Cs: 0.000 0.000 0.000
Tl: 0.000 0.500 0.500
Tl: 0.500 0.000 0.500
Cd: 0.500 0.500 0.000

---

Entry 6:
Entry from the Alexandria database: Tm3Sc2Co2 after structural relaxation (PBE-GGA).

Calculated values
**Electronic total energy**: -41.73 eV/cell

abc: 5.994 5.994 8.451
angles: 114.29 114.29 34.22
Fractional coordinates of all 7 atoms:
Tm: 0.000 0.000 0.000
Tm: 0.115 0.115 0.430
Tm: 0.885 0.885 0.570
Sc: 0.327 0.327 0.186
Sc: 0.673 0.673 0.814
Co: 0.315 0.315 0.766
Co: 0.685 0.685 0.234

---

Entry 7:
Entry from the Alexandria database: KNdPb2Br8 after structural relaxation (PBE-GGA).

Calculated values
**Electronic total energy**: -43.01 eV/cell
**Formation energy from raw total energies**: -1.36 eV per atom

abc: 6.933 9.297 7.295
angles: 90.00 90.79 90.00
Fractional coordinates of all 12 atoms:
K: 0.000 0.000 0.000
Nd: 0.000 0.500 0.000
Pb: 0.500 0.247 0.500
Pb: 0.500 0.753 0.500
Br: 0.242 0.275 0.157
Br: 0.242 0.725 0.157
Br: 0.245 0.500 0.673
Br: 0.271 0.000 0.638
Br: 0.729 0.000 0.362
Br: 0.755 0.500 0.327
Br: 0.758 0.275 0.843
Br: 0.758 0.725 0.843

---

Entry 8:
Entry from the Alexandria database: Na3CoAs after structural relaxation (PBE-GGA).

Calculated values
**Electronic total energy**: -11.72 eV/cell

abc: 5.302 5.302 5.302
angles: 90.00 90.00 90.00
Fractional coordinates of all 5 atoms:
Na: 0.000 0.000 0.500
Na: 0.000 0.500 0.000
Na: 0.500 0.000 0.000
Co: 0.000 0.000 0.000
As: 0.500 0.500 0.500

---

- Among the records above, which one has the highest electronic total energy?
  CsTl2Cd

---

- Which formula does entry 2 have?
  Pu2TcSn